Entry from Alexandria via LeMat-Bulk: crystalline VSiO4 at its relaxed geometry (PBE+U).

For the total DFT energy (no corrections), the calculation gives -7.73 eV/atom.

The space group is Pbcn (No. 60) and the conventional cell measures 4.3687, 10.9737 and 4.5823 Å, with angles of 90.00, 90.00 and 90.00 degrees. The distinct sites, in fractional coordinates, are V at (0.0000, 0.1754, 0.2500), Si at (0.0000, 0.4353, 0.2500), O at (0.2217, 0.3168, 0.0898) and O at (0.2234, 0.4468, 0.5739).